1.
{
  "formula": "TcNiSb2",
  "functional": "PBE",
  "state": "relaxed",
  "e_tot_ev_per_atom": -5.421,
  "total_magnetization_mub_per_cell": 0.0,
  "sg": "No. 216",
  "formation_energy_uncorrected_ev_per_atom": 0.677,
  "cell": [[4.717, 0.000, 0.000], [2.358, 4.085, 0.000], [2.358, 1.362, 3.851]],
  "species": ["Ni", "Tc", "Sb", "Sb"],
  "frac_coords": [[0.500, 0.500, 0.500], [0.750, 0.750, 0.750], [0.250, 0.250, 0.250], [0.000, 0.000, 0.000]]
}

=====

2.
{
  "formula": "TcNi2Sb",
  "functional": "PBE",
  "state": "relaxed",
  "e_tot_ev_per_atom": -6.350,
  "total_magnetization_mub_per_cell": 0.0,
  "sg": "No. 99",
  "formation_energy_uncorrected_ev_per_atom": 0.162,
  "cell": [[-0.324, 2.748, 1.558], [-1.608, 1.205, -2.459], [-4.846, -1.853, 2.261]],
  "species": ["Ni", "Ni", "Tc", "Sb"],
  "frac_coords": [[0.500, 0.500, 0.229], [0.000, 0.000, 0.014], [0.500, 0.500, 0.774], [0.000, 0.000, 0.483]]
}

=====

3.
{
  "formula": "TcNiSbTe2",
  "functional": "PBE",
  "state": "relaxed",
  "e_tot_ev_per_atom": -4.363,
  "total_magnetization_mub_per_cell": 0.6,
  "sg": "No. 123",
  "formation_energy_uncorrected_ev_per_atom": 0.947,
  "cell": [[-1.407, -4.536, -2.098], [4.821, -1.806, 0.673], [-1.297, -1.737, 4.625]],
  "species": ["Sb", "Tc", "Ni", "Te", "Te"],
  "frac_coords": [[0.000, 0.000, 0.500], [0.000, 0.000, 0.000], [0.500, 0.500, 0.500], [0.500, 0.000, 0.000], [0.000, 0.500, 0.000]]
}